## Nd2ErTmSe6 (PBE-GGA)

Data for Nd2ErTmSe6 after structural relaxation.

```
data_Nd2ErTmSe6
_space_group_name_H-M_alt 'P 1'
_space_group_IT_number 1
_cell_length_a 7.7310
_cell_length_b 7.7310
_cell_length_c 7.7310
_cell_angle_alpha 56.47
_cell_angle_beta 56.47
_cell_angle_gamma 56.47
loop_
_space_group_symop_operation_xyz
'x,y,z'
loop_
_atom_site_label
_atom_site_fract_x
_atom_site_fract_y
_atom_site_fract_z
_atom_site_occupancy
Nd1 0.0000 0.0000 0.0000 1
Nd2 0.4997 0.4997 0.4997 1
Er1 0.2007 0.2007 0.2007 1
Tm1 0.7004 0.7004 0.7004 1
Se1 0.0809 0.4201 0.8174 1
Se2 0.3181 0.9186 0.5824 1
Se3 0.4201 0.8174 0.0809 1
Se4 0.5824 0.3181 0.9186 1
Se5 0.8174 0.0809 0.4201 1
Se6 0.9186 0.5824 0.3181 1
```

Output
Size of the total moment in μB/cell: 0.00
Raw total energy in eV per atom: -5.787
Uncorrected formation energy in meV/atom: -1839
Space group: R3 (146)